No. 1
RbAsPt2 (SCAN, PBEsol geometry); E_form = 682 meV per atom; space-group type = Fm-3m; volume = 19.304 Å³/atom; crystal system = cubic; total energy = -44.647 eV/atom; offset from the most stable computed form = 1.0693 eV per atom
1.0
6.7596 0.0000 0.0000
0.0000 6.7596 0.0000
0.0000 0.0000 6.7596
Rb As Pt
4 4 8
direct
0.0000 0.0000 0.0000
0.0000 0.5000 0.5000
0.5000 0.0000 0.5000
0.5000 0.5000 0.0000
0.0000 0.0000 0.5000
0.0000 0.5000 0.0000
0.5000 0.0000 0.0000
0.5000 0.5000 0.5000
0.2500 0.2500 0.2500
0.2500 0.2500 0.7500
0.2500 0.7500 0.2500
0.2500 0.7500 0.7500
0.7500 0.2500 0.2500
0.7500 0.2500 0.7500
0.7500 0.7500 0.2500
0.7500 0.7500 0.7500

---

No. 2
Cu3Ni (SCAN, PBEsol geometry); E_form = 33 meV per atom; space-group type = C2/m; volume = 10.977 Å³/atom; crystal system = monoclinic; total energy = -15.409 eV/atom
1.0
8.2673 0.0000 0.0000
0.0000 2.4973 0.0000
-0.7657 0.0000 4.2535
Cu Ni
6 2
direct
0.0000 0.0000 0.0000
0.2485 0.0000 0.7476
0.2515 0.5000 0.2524
0.5000 0.5000 0.0000
0.7485 0.5000 0.7476
0.7515 0.0000 0.2524
0.0000 0.5000 0.5000
0.5000 0.0000 0.5000

---

No. 3
Mg2AuCl (SCAN, PBEsol geometry); space-group type = R-3m; volume = 19.440 Å³/atom; energy relative to the elements, uncorrected = -0.90 eV/atom; crystal system = trigonal; total energy = -22.670 eV/atom; offset from the most stable computed form = 0.0000 eV per atom
1.0
3.4183 0.0000 0.0000
-1.7091 2.9603 0.0000
0.0000 0.0000 23.0531
Mg Au Cl
6 3 3
direct
0.0000 0.0000 0.2474
0.0000 0.0000 0.7526
0.3333 0.6667 0.4193
0.3333 0.6667 0.9141
0.6667 0.3333 0.0859
0.6667 0.3333 0.5807
0.0000 0.0000 0.5000
0.3333 0.6667 0.1667
0.6667 0.3333 0.8333
0.0000 0.0000 0.0000
0.3333 0.6667 0.6667
0.6667 0.3333 0.3333

---

No. 4
AlRu (SCAN, PBEsol geometry); E_form = -280 meV per atom; space-group type = Fd-3m; volume = 13.753 Å³/atom; crystal system = cubic; total energy = -21.569 eV/atom
1.0
6.0372 0.0000 0.0000
0.0000 6.0372 0.0000
0.0000 0.0000 6.0372
Al Ru
8 8
direct
0.1250 0.1250 0.1250
0.1250 0.6250 0.6250
0.3750 0.3750 0.8750
0.3750 0.8750 0.3750
0.6250 0.1250 0.6250
0.6250 0.6250 0.1250
0.8750 0.3750 0.3750
0.8750 0.8750 0.8750
0.1250 0.1250 0.6250
0.1250 0.6250 0.1250
0.3750 0.3750 0.3750
0.3750 0.8750 0.8750
0.6250 0.1250 0.1250
0.6250 0.6250 0.6250
0.8750 0.3750 0.8750
0.8750 0.8750 0.3750

---

No. 5
TcNi2W (SCAN, PBEsol geometry); E_form = 57 meV per atom; space-group type = Cm; volume = 12.633 Å³/atom; crystal system = monoclinic; total energy = -34.217 eV/atom; offset from the most stable computed form = 0.0688 eV per atom
1.0
8.6017 0.0000 0.0000
0.0000 2.5765 0.0000
-0.6549 0.0000 4.5603
Tc Ni W
2 4 2
direct
0.0000 0.0000 0.0000
0.5000 0.5000 0.0000
0.2431 0.5000 0.2340
0.4912 0.0000 0.4725
0.7431 0.0000 0.2340
0.9912 0.5000 0.4725
0.2384 0.0000 0.7153
0.7384 0.5000 0.7153

---

No. 6
Sm3NbSe3O4 (SCAN, PBEsol geometry); space-group type = Pnma; volume = 17.666 Å³/atom; energy relative to the elements, uncorrected = -2.82 eV/atom; crystal system = orthorhombic; total energy = -25.697 eV/atom
1.0
6.8340 0.0000 0.0000
0.0000 7.7151 0.0000
0.0000 0.0000 14.7425
Sm Nb Se O
12 4 12 16
direct
0.2130 0.0066 0.1544
0.2130 0.4934 0.1544
0.2158 0.2500 0.9173
0.2842 0.7500 0.4173
0.2870 0.5066 0.6544
0.2870 0.9934 0.6544
0.7130 0.0066 0.3456
0.7130 0.4934 0.3456
0.7158 0.2500 0.5827
0.7842 0.7500 0.0827
0.7870 0.5066 0.8456
0.7870 0.9934 0.8456
0.1783 0.7500 0.9322
0.3217 0.2500 0.4322
0.6783 0.7500 0.5678
0.8217 0.2500 0.0678
0.0000 0.0000 0.5000
0.0000 0.5000 0.5000
0.0033 0.2500 0.7284
0.0471 0.2500 0.2972
0.4529 0.7500 0.7972
0.4967 0.7500 0.2284
0.5000 0.0000 0.0000
0.5000 0.5000 0.0000
0.5033 0.2500 0.7716
0.5471 0.2500 0.2028
0.9529 0.7500 0.7028
0.9967 0.7500 0.2716
0.1163 0.5262 0.8839
0.1163 0.9738 0.8839
0.1303 0.2500 0.0682
0.1427 0.7500 0.0635
0.3573 0.2500 0.5635
0.3697 0.7500 0.5682
0.3837 0.0262 0.3839
0.3837 0.4738 0.3839
0.6163 0.5262 0.6161
0.6163 0.9738 0.6161
0.6303 0.2500 0.4318
0.6427 0.7500 0.4365
0.8573 0.2500 0.9365
0.8697 0.7500 0.9318
0.8837 0.0262 0.1161
0.8837 0.4738 0.1161

---

No. 7
Be2CrCl (SCAN, PBEsol geometry); space-group type = Fm-3m; volume = 12.826 Å³/atom; energy relative to the elements, uncorrected = 1.12 eV/atom; crystal system = cubic; total energy = -7.643 eV/atom; offset from the most stable computed form = 0.7923 eV per atom
1.0
5.8984 0.0000 0.0000
0.0000 5.8984 0.0000
0.0000 0.0000 5.8984
Be Cr Cl
8 4 4
direct
0.2500 0.2500 0.2500
0.2500 0.2500 0.7500
0.2500 0.7500 0.2500
0.2500 0.7500 0.7500
0.7500 0.2500 0.2500
0.7500 0.2500 0.7500
0.7500 0.7500 0.2500
0.7500 0.7500 0.7500
0.0000 0.0000 0.0000
0.0000 0.5000 0.5000
0.5000 0.0000 0.5000
0.5000 0.5000 0.0000
0.0000 0.0000 0.5000
0.0000 0.5000 0.0000
0.5000 0.0000 0.0000
0.5000 0.5000 0.5000

---

No. 8
ScP2Cl (SCAN, PBEsol geometry); space-group type = R3m; volume = 20.186 Å³/atom; energy relative to the elements, uncorrected = -0.87 eV/atom; crystal system = trigonal; total energy = -11.624 eV/atom; offset from the most stable computed form = 0.1648 eV per atom
1.0
3.8099 0.0000 0.0000
-1.9049 3.2995 0.0000
0.0000 0.0000 19.2697
Sc P Cl
3 6 3
direct
0.0000 0.0000 0.0000
0.3333 0.6667 0.6667
0.6667 0.3333 0.3333
0.0000 0.0000 0.2541
0.0000 0.0000 0.5616
0.3333 0.6667 0.2283
0.3333 0.6667 0.9208
0.6667 0.3333 0.5874
0.6667 0.3333 0.8950
0.0000 0.0000 0.7443
0.3333 0.6667 0.4110
0.6667 0.3333 0.0776